# 1
Here is crystalline K2Rb4ZnPb2 at its relaxed geometry from the Alexandria database. Energies are from PBE-GGA.

Computed properties:
- space group = C2/m, No. 12
- formation enthalpy at 0 K (meV per atom) = -29

abc: 7.2609 8.8076 8.8076
angles: 56.14 76.06 76.06
Fractional positions:
K: 0.2183 0.6523 0.6523
K: 0.7817 0.3477 0.3477
Rb: 0.2448 0.6438 0.1137
Rb: 0.7552 0.8863 0.3562
Rb: 0.7552 0.3562 0.8863
Rb: 0.2448 0.1137 0.6438
Zn: 0.5000 0.0000 0.0000
Pb: 0.2316 0.1600 0.1600
Pb: 0.7684 0.8400 0.8400


# 2
Here is crystalline Sr2TeMoSe at its relaxed geometry from the Alexandria database. Energies are from PBE-GGA.

Computed properties:
- formation energy without anion corrections (eV/f.u.) = -1.93
- space group = P4/mmm, No. 123

abc: 5.9683 5.9683 4.7442
angles: 90.00 90.00 90.00
Last column: magnetic moment on the atom in μB.
Fractional positions:
Sr: 0.0000 0.5000 0.0000  0.01
Sr: 0.5000 0.0000 0.0000  0.01
Mo: 0.0000 0.0000 0.5000  2.07
Te: 0.5000 0.5000 0.5000  0.09
Se: 0.0000 0.0000 0.0000  -0.01


# 3
Here is crystalline ThRhAu4 at its relaxed geometry from the Alexandria database. Energies are from PBE-GGA.

Computed properties:
- distance to the lowest polymorph of the same formula (meV per atom) = 123.9
- space group = F-43m, No. 216
- formation enthalpy at 0 K (meV per atom) = -333

abc: 5.5179 5.5179 5.5179
angles: 60.00 60.00 60.00
Fractional positions:
Rh: 0.2500 0.2500 0.2500
Au: 0.6244 0.6244 0.1268
Au: 0.6244 0.1268 0.6244
Au: 0.6244 0.6244 0.6244
Au: 0.1268 0.6244 0.6244
Th: 0.0000 0.0000 0.0000


# 4
Here is crystalline LiSc2Zn2 at its relaxed geometry from the Alexandria database. Energies are from PBE-GGA.

Computed properties:
- distance to the lowest polymorph of the same formula (meV per atom) = 119.6
- space group = P4/mbm, No. 127
- formation enthalpy at 0 K (meV per atom) = -69

abc: 7.9966 7.9966 3.1655
angles: 90.00 90.00 90.00
Last column: magnetic moment on the atom in μB.
Fractional positions:
Sc: 0.3586 0.8586 0.0000  0.14
Sc: 0.8586 0.6414 0.0000  0.11
Sc: 0.6414 0.1414 0.0000  0.14
Sc: 0.1414 0.3586 0.0000  0.11
Zn: 0.1549 0.6549 0.5000  0.01
Zn: 0.6549 0.8451 0.5000  0.01
Zn: 0.8451 0.3451 0.5000  0.01
Zn: 0.3451 0.1549 0.5000  0.01
Li: 0.0000 0.0000 0.0000  0.00
Li: 0.5000 0.5000 0.0000  0.00


# 5
Here is crystalline SrSiTe4 at its relaxed geometry from the Alexandria database. Energies are from PBE-GGA.

Computed properties:
- formation energy without anion corrections (eV/f.u.) = 1.05
- space group = F-43m, No. 216

abc: 6.4042 6.4042 6.4042
angles: 60.00 60.00 60.00
Last column: magnetic moment on the atom in μB.
Fractional positions:
Sr: 0.0000 0.0000 0.0000  0.02
Si: 0.7500 0.7500 0.7500  0.15
Te: 0.8738 0.3754 0.3754  0.00
Te: 0.3754 0.3754 0.8738  0.00
Te: 0.3754 0.8738 0.3754  0.00
Te: 0.3754 0.3754 0.3754  0.00


# 6
Here is crystalline AlReN2O at its relaxed geometry from the Alexandria database. Energies are from PBE-GGA.

Computed properties:
- formation energy without anion corrections (eV/f.u.) = 2.41
- space group = P4/mmm, No. 123

abc: 3.7449 3.7449 3.5178
angles: 90.00 90.00 90.00
Last column: magnetic moment on the atom in μB.
Fractional positions:
Re: 0.5000 0.5000 0.5000  2.04
Al: 0.0000 0.0000 0.0000  0.01
O: 0.0000 0.0000 0.5000  -0.11
N: 0.0000 0.5000 0.0000  -0.18
N: 0.5000 0.0000 0.0000  -0.18


# 7
Here is crystalline LiMn2NCl at its relaxed geometry from the Alexandria database. Energies are from PBE-GGA.

Computed properties:
- formation energy without anion corrections (eV/f.u.) = -1.75
- space group = P4/mmm, No. 123

abc: 3.6915 7.1742 3.6915
angles: 90.00 90.00 90.00
Last column: magnetic moment on the atom in μB.
Fractional positions:
N: 0.0000 0.0000 0.0000  -0.17
Mn: 0.0000 0.0000 0.5000  2.95
Mn: 0.5000 0.0000 0.0000  2.59
Li: 0.0000 0.5000 0.0000  0.00
Cl: 0.5000 0.5000 0.5000  0.03


# 8
Here is crystalline KBe2Tl at its relaxed geometry from the Alexandria database. Energies are from PBE-GGA.

Computed properties:
- distance to the lowest polymorph of the same formula (meV per atom) = 662.0
- space group = P4/mmm, No. 123
- formation enthalpy at 0 K (meV per atom) = 1056

abc: 4.8018 4.8018 3.9798
angles: 90.00 90.00 90.03
Fractional positions:
Be: 0.0000 0.0000 0.0000
Be: 0.5000 0.5000 0.0000
Tl: 0.0000 0.5000 0.5000
K: 0.5000 0.0000 0.5000


# 9
Here is crystalline Pu3Au at its relaxed geometry from the Alexandria database. Energies are from PBE-GGA.

Computed properties:
- distance to the lowest polymorph of the same formula (meV per atom) = 46.7
- space group = P4mm, No. 99
- formation enthalpy at 0 K (meV per atom) = -38

abc: 4.6681 4.6680 3.9979
angles: 90.00 90.00 90.00
Last column: magnetic moment on the atom in μB.
Fractional positions:
Au: 0.5000 0.0000 0.6317  0.03
Pu: 0.0000 0.0000 0.1286  4.62
Pu: 0.0000 0.5000 0.4444  -3.87
Pu: 0.5000 0.5000 0.1286  4.62


# 10
Here is crystalline PmPaCdPb at its relaxed geometry from the Alexandria database. Energies are from PBE-GGA.

Computed properties:
- space group = F-43m, No. 216
- formation enthalpy at 0 K (meV per atom) = 9

abc: 5.4188 5.4188 5.4188
angles: 60.00 60.00 60.00
Last column: magnetic moment on the atom in μB.
Fractional positions:
Pb: 0.2500 0.2500 0.2500  0.01
Cd: 0.7500 0.7500 0.7500  0.02
Pa: 0.5000 0.5000 0.5000  1.19
Pm: 0.0000 0.0000 0.0000  0.15


# 11
Here is crystalline Ba2As2Br at its relaxed geometry from the Alexandria database. Energies are from PBE-GGA.

Computed properties:
- formation energy without anion corrections (eV/f.u.) = -6.27
- distance to the lowest polymorph of the same formula (meV per atom) = 49.1
- space group = P4/mbm, No. 127

abc: 8.9909 8.9909 4.3484
angles: 90.00 90.00 90.00
Fractional positions:
As: 0.0941 0.5941 0.5000
As: 0.5941 0.9059 0.5000
As: 0.9059 0.4059 0.5000
As: 0.4059 0.0941 0.5000
Ba: 0.3135 0.8135 0.0000
Ba: 0.8135 0.6865 0.0000
Ba: 0.6865 0.1865 0.0000
Ba: 0.1865 0.3135 0.0000
Br: 0.0000 0.0000 0.0000
Br: 0.5000 0.5000 0.0000


# 12
Here is crystalline PaSe2I at its relaxed geometry from the Alexandria database. Energies are from PBE-GGA.

Computed properties:
- formation energy without anion corrections (eV/f.u.) = -3.33
- distance to the lowest polymorph of the same formula (meV per atom) = 336.4
- space group = P4/mmm, No. 123

abc: 3.7719 3.7719 7.2050
angles: 90.00 90.00 90.00
Fractional positions:
I: 0.5000 0.5000 0.5000
Pa: 0.5000 0.5000 0.0000
Se: 0.0000 0.0000 0.8065
Se: 0.0000 0.0000 0.1935


# 13
Here is crystalline SeF at its relaxed geometry from the Alexandria database. Energies are from PBE-GGA.

Computed properties:
- formation energy without anion corrections (eV/f.u.) = -1.37
- distance to the lowest polymorph of the same formula (meV per atom) = 379.5
- space group = P4_2/mnm, No. 136

abc: 6.8885 6.8885 4.1816
angles: 90.00 90.00 90.00
Fractional positions:
Se: 0.6196 0.6196 0.0000
Se: 0.1196 0.8804 0.5000
Se: 0.8804 0.1196 0.5000
Se: 0.3804 0.3804 0.0000
F: 0.8661 0.1339 0.0000
F: 0.3661 0.3661 0.5000
F: 0.6339 0.6339 0.5000
F: 0.1339 0.8661 0.0000


# 14
Here is crystalline NaH2I2 at its relaxed geometry from the Alexandria database. Energies are from PBE-GGA.

Computed properties:
- distance to the lowest polymorph of the same formula (meV per atom) = 608.8
- space group = I4/mmm, No. 139

abc: 4.0829 4.0829 7.0797
angles: 73.24 73.24 90.00
Fractional positions:
I: 0.3469 0.3469 0.3062
I: 0.6531 0.6531 0.6938
Na: 0.0000 0.0000 0.0000
H: 0.7500 0.2500 0.5000
H: 0.2500 0.7500 0.5000


# 15
Here is crystalline ZnCdCl4 at its relaxed geometry from the Alexandria database. Energies are from PBE-GGA.

Computed properties:
- formation energy without anion corrections (eV/f.u.) = -5.56
- distance to the lowest polymorph of the same formula (meV per atom) = 158.6
- space group = P4_2/mmc, No. 131

abc: 7.1465 7.1465 9.1883
angles: 90.00 90.00 90.00
Fractional positions:
Zn: 0.0000 0.5000 0.0000
Zn: 0.5000 0.0000 0.5000
Cd: 0.0000 0.0000 0.5000
Cd: 0.0000 0.0000 0.0000
Cl: 0.7340 0.2338 0.5000
Cl: 0.7662 0.2660 0.0000
Cl: 0.7340 0.7662 0.5000
Cl: 0.2338 0.7340 0.0000
Cl: 0.2660 0.7662 0.5000
Cl: 0.2338 0.2660 0.0000
Cl: 0.7662 0.7340 0.0000
Cl: 0.2660 0.2338 0.5000


# 16
Here is crystalline Pm3Ho3Th2 at its relaxed geometry from the Alexandria database. Energies are from PBE-GGA.

Computed properties:
- distance to the lowest polymorph of the same formula (meV per atom) = 0.0
- space group = Immm, No. 71
- formation enthalpy at 0 K (meV per atom) = 30

abc: 5.0541 5.0672 10.8209
angles: 103.54 103.51 90.00
Fractional positions:
Pm: 0.6281 0.6281 0.2561
Pm: 0.3719 0.3719 0.7439
Pm: 0.5000 0.0000 0.0000
Ho: 0.1278 0.1278 0.2555
Ho: 0.0000 0.5000 0.0000
Ho: 0.8722 0.8722 0.7445
Th: 0.7496 0.2496 0.4992
Th: 0.2504 0.7504 0.5008


# 17
Here is crystalline CdIn at its relaxed geometry from the Alexandria database. Energies are from PBE-GGA.

Computed properties:
- space group = I4/mmm, No. 139
- formation enthalpy at 0 K (meV per atom) = 56

abc: 9.7380 9.7380 4.4182
angles: 90.00 90.00 90.00
Fractional positions:
Cd: 0.1671 0.5000 0.0000
Cd: 0.8329 0.5000 0.0000
Cd: 0.5000 0.8329 0.0000
Cd: 0.5000 0.1671 0.0000
Cd: 0.6671 0.0000 0.5000
Cd: 0.3329 0.0000 0.5000
Cd: 0.0000 0.3329 0.5000
Cd: 0.0000 0.6671 0.5000
In: 0.8386 0.8386 0.0000
In: 0.8386 0.1614 0.0000
In: 0.1614 0.8386 0.0000
In: 0.1614 0.1614 0.0000
In: 0.3386 0.3386 0.5000
In: 0.3386 0.6614 0.5000
In: 0.6614 0.3386 0.5000
In: 0.6614 0.6614 0.5000


Number 1: Fermi-level density of states 5.23 states/eV/f.u.. Number 2: Fermi-level density of states 2.64 states/eV/f.u.. Number 3: Fermi-level density of states 2.78 states/eV/f.u.. Number 4: Fermi-level density of states 4.10 states/eV/f.u.. Number 5: Fermi-level density of states 4.46 states/eV/f.u.. Number 6: Fermi-level density of states 1.90 states/eV/f.u.. Number 7: Fermi-level density of states 5.59 states/eV/f.u.. Number 8: Fermi-level density of states 2.32 states/eV/f.u.. Number 9: Fermi-level density of states 13.52 states/eV/f.u.. Number 10: Fermi-level density of states 9.58 states/eV/f.u.. Number 11: Fermi-level density of states 4.46 states/eV/f.u.. Number 12: Fermi-level density of states 5.30 states/eV/f.u.. Number 13: Fermi-level density of states 1.06 states/eV/f.u.. Number 14: Fermi-level density of states 0.97 states/eV/f.u.. Number 15: Fermi-level density of states 0.00 states/eV/f.u.. Number 16: Fermi-level density of states 8.80 states/eV/f.u.. Number 17: Fermi-level density of states 1.09 states/eV/f.u..